Entry 1:
The following is a PBE calculation of a geometry-optimized DyMnRu2 structure, from Alexandria.

The structure in CIF format:
```
data_DyMnRu2
_chemical_formula_sum 'Dy1 Mn1 Ru2'
_cell_length_a 3.168
_cell_length_b 3.168
_cell_length_c 6.588
_cell_angle_alpha 90.00
_cell_angle_beta 90.00
_cell_angle_gamma 90.00
_space_group_name_H-M_alt 'P 1'
_space_group_IT_number 1
loop_
_space_group_symop_operation_xyz
'x,y,z'
loop_
_atom_site_label
_atom_site_type_symbol
_atom_site_fract_x
_atom_site_fract_y
_atom_site_fract_z
Dy1 Dy 0.000 0.000 0.000
Mn1 Mn 0.000 0.000 0.500
Ru1 Ru 0.500 0.500 0.292
Ru2 Ru 0.500 0.500 0.708
```

total magnetization	2.66	μB per cell
calculated formation energy	-0.1	eV per formula unit

---

Entry 2:
The following is a PBE calculation of a geometry-optimized DyMnRu structure, from Alexandria.

The structure in CIF format:
```
data_DyMnRu
_chemical_formula_sum 'Dy6 Mn6 Ru6'
_cell_length_a 13.376
_cell_length_b 13.376
_cell_length_c 13.376
_cell_angle_alpha 22.78
_cell_angle_beta 22.78
_cell_angle_gamma 22.78
_space_group_name_H-M_alt 'P 1'
_space_group_IT_number 1
loop_
_space_group_symop_operation_xyz
'x,y,z'
loop_
_atom_site_label
_atom_site_type_symbol
_atom_site_fract_x
_atom_site_fract_y
_atom_site_fract_z
Dy1 Dy 0.041 0.041 0.041
Dy2 Dy 0.180 0.180 0.180
Dy3 Dy 0.264 0.264 0.264
Dy4 Dy 0.736 0.736 0.736
Dy5 Dy 0.820 0.820 0.820
Dy6 Dy 0.959 0.959 0.959
Mn1 Mn 0.222 0.721 0.721
Mn2 Mn 0.279 0.279 0.778
Mn3 Mn 0.279 0.778 0.279
Mn4 Mn 0.721 0.222 0.721
Mn5 Mn 0.721 0.721 0.222
Mn6 Mn 0.778 0.279 0.279
Ru1 Ru 0.000 0.500 0.500
Ru2 Ru 0.392 0.392 0.392
Ru3 Ru 0.500 0.000 0.500
Ru4 Ru 0.500 0.500 0.000
Ru5 Ru 0.500 0.500 0.500
Ru6 Ru 0.608 0.608 0.608
```

total magnetization	15.17	μB per cell
excess energy over the best structure of this formula in the dataset	71	meV per atom
calculated formation energy	-0.4	eV per formula unit

---

Entry 3:
The following is a PBE calculation of a geometry-optimized DyMnSi3Ru structure, from Alexandria.

The structure in CIF format:
```
data_DyMnSi3Ru
_chemical_formula_sum 'Dy2 Mn2 Si6 Ru2'
_cell_length_a 6.474
_cell_length_b 6.474
_cell_length_c 5.438
_cell_angle_alpha 90.00
_cell_angle_beta 90.00
_cell_angle_gamma 109.79
_space_group_name_H-M_alt 'P 1'
_space_group_IT_number 1
loop_
_space_group_symop_operation_xyz
'x,y,z'
loop_
_atom_site_label
_atom_site_type_symbol
_atom_site_fract_x
_atom_site_fract_y
_atom_site_fract_z
Dy1 Dy 0.240 0.760 0.750
Dy2 Dy 0.760 0.240 0.250
Mn1 Mn 0.045 0.955 0.250
Mn2 Mn 0.955 0.045 0.750
Si1 Si 0.241 0.241 0.000
Si2 Si 0.241 0.241 0.500
Si3 Si 0.244 0.756 0.250
Si4 Si 0.756 0.244 0.750
Si5 Si 0.759 0.759 0.000
Si6 Si 0.759 0.759 0.500
Ru1 Ru 0.452 0.548 0.250
Ru2 Ru 0.548 0.452 0.750
```

total magnetization	0.00	μB per cell
formation energy without anion corrections	-0.3502	eV/atom